The following is a DFT calculation (meta-GGA SCAN) of WCl4 at its PBEsol-relaxed geometry.

Cell lengths 6.397, 6.822, 7.029 Å; angles 73.03, 62.93, 62.04 degrees
Sites, in units of the cell vectors:
W (0.206, 0.000, 0.000)
W (0.794, 0.000, 0.000)
Cl (0.322, 0.202, 0.154)
Cl (0.787, 0.242, 0.185)
Cl (0.217, 0.747, 0.295)
Cl (0.741, 0.747, 0.295)
Cl (0.259, 0.253, 0.705)
Cl (0.783, 0.253, 0.705)
Cl (0.213, 0.758, 0.815)
Cl (0.678, 0.798, 0.846)

Symmetry: C2/m, No. 12
Calculated total energy, eV per atom: -21.22
M_tot, μB per cell: 0.00
Energy relative to the elements, uncorrected, meV/atom: -904
Volume, Å³/f.u.: 120